i | {"formula": "AcTbPr2", "functional": "GGA-PBE", "state": "relaxed", "lattice": [[5.963, 0.000, 0.000], [2.981, 5.164, 0.000], [2.981, 1.721, 4.869]], "species": ["Pr", "Tb", "Pr", "Ac"], "fractional_positions": [[0.250, 0.250, 0.250], [0.000, 0.000, 0.000], [0.750, 0.750, 0.750], [0.500, 0.500, 0.500]], "magmom_total_mub_per_fu": 1.38, "sg": "Fm-3m, No. 225"}

ii | {"formula": "AcTbPr2", "functional": "GGA-PBE", "state": "relaxed", "lattice": [[-2.388, -2.553, 1.383], [1.319, -3.157, 1.559], [0.028, 3.622, 11.842]], "species": ["Ac", "Tb", "Pr", "Pr"], "fractional_positions": [[0.500, 0.500, 0.501], [0.667, 0.667, 0.000], [0.080, 0.080, 0.761], [0.254, 0.254, 0.238]], "magmom_total_mub_per_fu": 0.00, "sg": "R3m, No. 160"}

Energies in meV per atom, measured from the most stable structure: i 117; ii 0.

i | {"formula": "Ac3TbPr", "functional": "GGA-PBE", "state": "relaxed", "lattice": [[3.873, 0.000, 0.000], [0.000, 10.756, 1.324], [-1.937, 1.389, 9.888]], "species": ["Ac", "Ac", "Ac", "Tb", "Pr", "Ac", "Ac", "Tb", "Pr", "Ac"], "fractional_positions": [[0.397, 0.045, 0.794], [0.202, 0.653, 0.404], [0.603, 0.955, 0.206], [0.799, 0.852, 0.597], [0.604, 0.445, 0.209], [0.002, 0.261, 0.004], [0.798, 0.347, 0.596], [0.201, 0.148, 0.403], [0.396, 0.555, 0.791], [0.998, 0.739, 0.996]], "magmom_total_mub_per_fu": 0.00, "sg": "C2/m, No. 12"}

ii | {"formula": "Ac3TbPr", "functional": "GGA-PBE", "state": "relaxed", "lattice": [[-4.361, -0.392, -6.131], [9.401, -3.169, -1.855], [-7.179, -2.853, 5.289]], "species": ["Ac", "Ac", "Ac", "Ac", "Ac", "Pr", "Tb", "Tb", "Ac", "Pr"], "fractional_positions": [[0.404, 0.309, 0.691], [0.095, 0.691, 0.309], [0.596, 0.691, 0.309], [0.751, 0.502, 0.504], [0.905, 0.309, 0.691], [0.443, 0.886, 0.114], [0.057, 0.114, 0.886], [0.943, 0.886, 0.114], [0.249, 0.498, 0.496], [0.557, 0.114, 0.886]], "magmom_total_mub_per_fu": 0.00, "sg": "C2/m, No. 12"}

Energies in meV per atom, measured from the most stable structure: i 0; ii 133.

i | {"formula": "Ac4TbPr", "functional": "GGA-PBE", "state": "relaxed", "lattice": [[-2.449, -1.313, 5.157], [-2.889, -5.069, 0.665], [6.397, -6.420, 4.732]], "species": ["Ac", "Ac", "Ac", "Ac", "Tb", "Pr"], "fractional_positions": [[0.123, 0.122, 0.632], [0.626, 0.626, 0.121], [0.374, 0.374, 0.879], [0.877, 0.878, 0.368], [0.000, 0.000, 0.000], [0.500, 0.500, 0.500]], "magmom_total_mub_per_fu": 0.00, "sg": "C2/m, No. 12"}

ii | {"formula": "Ac4TbPr", "functional": "GGA-PBE", "state": "relaxed", "lattice": [[8.264, 1.979, 1.171], [5.279, 6.659, 1.171], [-0.670, -0.427, 5.447]], "species": ["Pr", "Ac", "Tb", "Ac", "Ac", "Ac"], "fractional_positions": [[0.500, 0.500, 0.500], [0.662, 0.662, 0.000], [0.000, 0.000, 0.000], [0.839, 0.839, 0.500], [0.161, 0.161, 0.500], [0.338, 0.338, 0.000]], "magmom_total_mub_per_fu": 0.00, "sg": "Cmmm, No. 65"}

Energies in meV per atom, measured from the most stable structure: i 546; ii 0.

i | {"formula": "AcTb4Pr2", "functional": "GGA-PBE", "state": "relaxed", "lattice": [[-0.200, 5.815, -0.635], [-8.330, -0.752, -4.262], [-4.316, 0.758, 8.302]], "species": ["Tb", "Pr", "Tb", "Tb", "Tb", "Tb", "Tb", "Ac", "Pr", "Ac", "Tb", "Tb", "Pr", "Pr"], "fractional_positions": [[0.500, 0.625, 0.114], [0.500, 0.302, 0.302], [0.000, 0.386, 0.125], [0.500, 0.886, 0.375], [0.500, 0.114, 0.625], [0.000, 0.125, 0.386], [0.500, 0.375, 0.886], [0.500, 0.000, 0.000], [0.000, 0.802, 0.198], [0.000, 0.500, 0.500], [0.000, 0.875, 0.614], [0.000, 0.614, 0.875], [0.000, 0.198, 0.802], [0.500, 0.698, 0.698]], "magmom_total_mub_per_fu": 0.00, "sg": "P4_2/mnm, No. 136"}

ii | {"formula": "AcTb4Pr2", "functional": "GGA-PBE", "state": "relaxed", "lattice": [[9.315, 1.082, 1.284], [0.276, 9.804, -0.325], [-3.653, -6.007, 5.122]], "species": ["Pr", "Tb", "Ac", "Pr", "Pr", "Tb", "Tb", "Tb", "Tb", "Tb", "Ac", "Pr", "Tb", "Tb"], "fractional_positions": [[0.581, 0.029, 0.417], [0.886, 0.791, 0.221], [0.164, 0.647, 0.506], [0.003, 0.309, 0.830], [0.738, 0.362, 0.085], [0.728, 0.464, 0.566], [0.859, 0.891, 0.708], [0.437, 0.610, 0.283], [0.144, 0.740, 0.990], [0.316, 0.080, 0.649], [0.301, 0.176, 0.137], [0.461, 0.511, 0.811], [0.025, 0.211, 0.362], [0.608, 0.929, 0.937]], "magmom_total_mub_per_fu": 0.00, "sg": "P1, No. 1"}

Energies in meV per atom, measured from the most stable structure: i 163; ii 0.

i | {"formula": "Ac2Tb2Pr7", "functional": "GGA-PBE", "state": "relaxed", "lattice": [[8.915, -1.835, 0.161], [-1.716, 5.844, 1.525], [-0.883, 1.835, 8.872]], "species": ["Pr", "Tb", "Pr", "Pr", "Pr", "Tb", "Ac", "Pr", "Ac", "Pr", "Pr"], "fractional_positions": [[0.947, 0.182, 0.592], [0.768, 0.500, 0.768], [0.577, 0.355, 0.423], [0.408, 0.182, 0.053], [0.053, 0.818, 0.408], [0.232, 0.500, 0.232], [0.779, 0.156, 0.221], [0.423, 0.645, 0.577], [0.221, 0.844, 0.779], [0.000, 0.000, 0.000], [0.592, 0.818, 0.947]], "magmom_total_mub_per_fu": 0.00, "sg": "C2/m, No. 12"}

ii | {"formula": "Ac2Tb2Pr7", "functional": "GGA-PBE", "state": "relaxed", "lattice": [[6.032, 1.229, 1.773], [0.367, 8.241, 1.345], [0.367, -1.635, 8.189]], "species": ["Pr", "Tb", "Ac", "Pr", "Pr", "Pr", "Tb", "Pr", "Pr", "Ac", "Pr"], "fractional_positions": [[0.816, 0.419, 0.932], [0.500, 0.214, 0.786], [0.814, 0.402, 0.402], [0.184, 0.581, 0.068], [0.000, 0.000, 0.000], [0.568, 0.777, 0.777], [0.500, 0.786, 0.214], [0.184, 0.068, 0.581], [0.816, 0.932, 0.419], [0.186, 0.598, 0.598], [0.432, 0.223, 0.223]], "magmom_total_mub_per_fu": 0.00, "sg": "C2/m, No. 12"}

Energies in meV per atom, measured from the most stable structure: i 23; ii 0.

i | {"formula": "AcTb7Pr12", "functional": "GGA-PBE", "state": "relaxed", "lattice": [[8.688, 1.132, 1.699], [-1.329, 8.660, 1.699], [-1.329, -1.768, 8.646]], "species": ["Tb", "Pr", "Pr", "Pr", "Pr", "Tb", "Ac", "Tb", "Pr", "Tb", "Pr", "Tb", "Pr", "Pr", "Pr", "Tb", "Pr", "Pr", "Tb", "Pr"], "fractional_positions": [[0.061, 0.154, 0.387], [0.867, 0.280, 0.726], [0.502, 0.373, 0.857], [0.274, 0.133, 0.720], [0.857, 0.502, 0.373], [0.939, 0.846, 0.613], [0.000, 0.000, 0.000], [0.846, 0.613, 0.939], [0.143, 0.498, 0.627], [0.613, 0.939, 0.846], [0.498, 0.627, 0.143], [0.387, 0.061, 0.154], [0.373, 0.857, 0.502], [0.726, 0.867, 0.280], [0.280, 0.726, 0.867], [0.500, 0.500, 0.500], [0.720, 0.274, 0.133], [0.133, 0.720, 0.274], [0.154, 0.387, 0.061], [0.627, 0.143, 0.498]], "magmom_total_mub_per_fu": 0.00, "sg": "R-3, No. 148"}

ii | {"formula": "AcTb7Pr12", "functional": "GGA-PBE", "state": "relaxed", "lattice": [[9.532, 0.000, -3.370], [-4.766, 8.255, -3.370], [0.000, 0.000, 10.110]], "species": ["Tb", "Tb", "Pr", "Pr", "Tb", "Pr", "Tb", "Pr", "Ac", "Pr", "Pr", "Pr", "Pr", "Pr", "Tb", "Pr", "Pr", "Tb", "Tb", "Pr"], "fractional_positions": [[0.000, 0.000, 0.500], [0.000, 0.500, 0.000], [0.520, 0.287, 0.233], [0.233, 0.946, 0.713], [0.000, 0.500, 0.500], [0.946, 0.713, 0.233], [0.500, 0.000, 0.000], [0.767, 0.480, 0.713], [0.000, 0.000, 0.000], [0.480, 0.713, 0.767], [0.713, 0.767, 0.480], [0.713, 0.233, 0.946], [0.287, 0.767, 0.054], [0.233, 0.520, 0.287], [0.500, 0.500, 0.500], [0.767, 0.054, 0.287], [0.054, 0.287, 0.767], [0.500, 0.000, 0.500], [0.500, 0.500, 0.000], [0.287, 0.233, 0.520]], "magmom_total_mub_per_fu": 0.00, "sg": "Im-3, No. 204"}

Energies in meV per atom, measured from the most stable structure: i 0; ii 411.